1.
A plane-wave DFT calculation with PBE was carried out for a relaxed Tl2SiHgS4 crystal.

Unit cell a=8.8503 b=8.8503 c=9.9930 alpha=131.61 beta=131.61 gamma=80.21
Last column: nearest neighbours and their distance in Å.
Positions (direct):
S 0.6831 0.6815 0.5194  2 Si 2.30-2.39
S 0.1815 0.1831 0.0194  2 Si 2.30-2.39
S 0.3169 0.3185 0.4806  2 Si 2.30-2.39
S 0.7273 0.2912 0.5397  1 Hg 2.43, 1 Si 2.50
S 0.2727 0.7088 0.4603  1 Hg 2.43, 1 Si 2.50
S 0.2088 0.7727 0.9603  1 Hg 2.43, 1 Si 2.50
S 0.8185 0.8169 0.9806  2 Si 2.30-2.39
S 0.7912 0.2273 0.0397  1 Hg 2.43, 1 Si 2.50
Tl 0.0000 0.0000 0.5000  4 S 3.23-3.28, 2 Tl 3.47
Tl 0.5000 0.5000 0.0000  4 S 3.23-3.28, 2 Tl 3.47
Tl 0.5000 0.0000 0.5000  6 S 2.94-3.19
Tl 0.5000 0.0000 0.0000  6 S 2.94-3.19
Hg 0.0000 0.5000 0.5000  2 S 2.43
Hg 0.0000 0.5000 0.0000  2 S 2.43
Si 0.5000 0.5000 0.5000  6 S 2.30-2.50
Si 0.0000 0.0000 0.0000  6 S 2.30-2.50

Output
Symmetry: No. 15



2.
A plane-wave DFT calculation with PBE was carried out for a relaxed SiHgW2S crystal.

Unit cell a=4.4178 b=5.3505 c=4.4178 alpha=90.00 beta=90.00 gamma=90.00
Last column: nearest neighbours and their distance in Å.
Positions (direct):
Hg 0.0000 0.5000 0.0000  2 S 2.68
W 0.5000 0.0000 0.0000  2 S 2.21
W 0.0000 0.0000 0.5000  2 S 2.21
S 0.0000 0.0000 0.0000  4 W 2.21
Si 0.5000 0.5000 0.5000  4 Hg 3.12, 8 W 3.47

Output
Symmetry: No. 123



3.
A plane-wave DFT calculation with PBE was carried out for a relaxed SiHg2WS crystal.

Unit cell a=5.0133 b=4.6273 c=5.0133 alpha=90.00 beta=90.00 gamma=90.00
Last column: nearest neighbours and their distance in Å.
Positions (direct):
Hg 0.5000 0.0000 0.0000  2 S 2.51
Hg 0.0000 0.0000 0.5000  2 S 2.51
S 0.0000 0.0000 0.0000  2 Si 2.31, 4 Hg 2.51
W 0.5000 0.5000 0.5000  8 Hg 3.41, 4 Si 3.54
Si 0.0000 0.5000 0.0000  2 S 2.31

Output
Symmetry: No. 123



4.
A plane-wave DFT calculation with PBE was carried out for a relaxed Zr2SiHgS crystal.

Unit cell a=5.0823 b=4.6655 c=5.0823 alpha=90.00 beta=90.00 gamma=90.00
Last column: nearest neighbours and their distance in Å.
Positions (direct):
Hg 0.0000 0.5000 0.0000  2 Si 2.33
Zr 0.5000 0.0000 0.0000  2 Si 2.54
Zr 0.0000 0.0000 0.5000  2 Si 2.54
Si 0.0000 0.0000 0.0000  2 Hg 2.33, 4 Zr 2.54
S 0.5000 0.5000 0.5000  8 Zr 3.45, 4 Hg 3.59

Output
Symmetry: No. 123



Which total magnetic moment belongs to each record? In order, 0.0 0.0 3.3 0.0 μB/cell.
Which uncorrected formation energy belongs to each record? In order, -1.32 7.36 7.93 1.90 eV per formula unit.
Which DOS at the Fermi energy belongs to each record? In order, 5.96 7.15 3.65 7.35 states/eV/cell.